Here is a relaxed PaCdGe2 crystal from Alexandria via LeMat-Bulk. Energies are from PBE.

Calculated values
calculated formation energy	-317	meV/atom
total magnetization	0.00	μB per formula unit
density of states at the Fermi level	2.92	states/eV per cell
theoretical density	9.6	g cm⁻³

a = 4.587 Å, b = 4.587 Å, c = 3.998 Å
α = 90.00°, β = 90.00°, γ = 90.00°
Space group P4/mmm (No. 123)
Unique sites:
Pa: 0.000 0.000 0.000 [1 per cell]
Cd: 0.500 0.500 0.000 [1 per cell]
Ge: 0.000 0.500 0.500 [2 per cell]



Here is a relaxed Pm5Si crystal from Alexandria via LeMat-Bulk. Energies are from PBE.

Calculated values
raw formation energy	-0.055	eV/atom
total magnetization	0.00	μB per formula unit
density of states at the Fermi level	40.19	states/eV per cell
theoretical density	6.7	g cm⁻³

a = 7.685 Å, b = 7.685 Å, c = 12.599 Å
α = 90.00°, β = 90.00°, γ = 90.00°
Space group I4/mcm (No. 140)
Unique sites:
Pm: 0.000 0.000 0.000 [4 per cell]
Pm: 0.156 0.344 0.145 [16 per cell]
Si: 0.000 0.000 0.250 [4 per cell]



Here is a relaxed LiY2Ga crystal from Alexandria via LeMat-Bulk. Energies are from PBE.

Calculated values
calculated formation energy	308	meV/atom
total magnetization	0.00	μB per formula unit
density of states at the Fermi level	9.19	states/eV per cell
theoretical density	3.7	g cm⁻³

a = 3.302 Å, b = 5.581 Å, c = 12.491 Å
α = 90.00°, β = 90.00°, γ = 90.00°
Space group Immm (No. 71)
Unique sites:
Li: 0.000 0.000 0.000 [2 per cell]
Y: 0.000 0.000 0.263 [4 per cell]
Ga: 0.000 0.000 0.500 [2 per cell]



Here is a relaxed La4CePb2 crystal from Alexandria via LeMat-Bulk. Energies are from PBE.

Calculated values
calculated formation energy	-302	meV/atom
total magnetization	1.02	μB per formula unit
density of states at the Fermi level	26.14	states/eV per cell
theoretical density	7.7	g cm⁻³

a = 8.423 Å, b = 6.765 Å, c = 9.230 Å
α = 90.00°, β = 115.04°, γ = 90.00°
Space group P2_1/m (No. 11)
Unique sites:
La: 0.015 0.250 0.498 [2 per cell]
La: 0.183 0.503 0.217 [4 per cell]
La: 0.337 0.250 0.908 [2 per cell]
Ce: 0.372 0.750 0.631 [2 per cell]
Pb: 0.216 0.750 0.903 [2 per cell]
Pb: 0.427 0.250 0.593 [2 per cell]



Here is a relaxed HPtAu2 crystal from Alexandria via LeMat-Bulk. Energies are from PBE.

Calculated values
total magnetization	0.00	μB per formula unit
density of states at the Fermi level	6.38	states/eV per cell
theoretical density	17.2	g cm⁻³
energy	-3.685	eV/atom

a = 6.280 Å, b = 6.280 Å, c = 5.771 Å
α = 90.00°, β = 90.00°, γ = 90.00°
Space group I-42d (No. 122)
Unique sites:
H: 0.000 0.000 0.000 [4 per cell]
Pt: 0.000 0.000 0.500 [4 per cell]
Au: 0.151 0.250 0.125 [8 per cell]



Here is a relaxed Ho2HgAu crystal from Alexandria via LeMat-Bulk. Energies are from PBE.

Calculated values
calculated formation energy	-678	meV/atom
total magnetization	0.00	μB per formula unit
density of states at the Fermi level	2.76	states/eV per cell
theoretical density	12.5	g cm⁻³

a = 3.657 Å, b = 3.657 Å, c = 7.239 Å
α = 90.00°, β = 90.00°, γ = 90.00°
Space group P4/mmm (No. 123)
Unique sites:
Ho: 0.000 0.000 0.239 [2 per cell]
Hg: 0.500 0.500 0.500 [1 per cell]
Au: 0.500 0.500 0.000 [1 per cell]



Here is a relaxed PmPrTe2 crystal from Alexandria via LeMat-Bulk. Energies are from PBE.

Calculated values
raw formation energy	-1.323	eV/atom
total magnetization	0.01	μB per formula unit
density of states at the Fermi level	3.84	states/eV per cell
theoretical density	7.7	g cm⁻³

a = 5.487 Å, b = 5.487 Å, c = 3.878 Å
α = 90.00°, β = 90.00°, γ = 90.00°
Space group P4/mmm (No. 123)
Unique sites:
Pm: 0.000 0.000 0.000 [1 per cell]
Pr: 0.500 0.500 0.000 [1 per cell]
Te: 0.000 0.500 0.500 [2 per cell]



Here is a relaxed Sr2BeNi crystal from Alexandria via LeMat-Bulk. Energies are from PBE.

Calculated values
calculated formation energy	673	meV/atom
total magnetization	0.00	μB per formula unit
density of states at the Fermi level	12.67	states/eV per cell
theoretical density	3.5	g cm⁻³

a = 8.041 Å, b = 8.041 Å, c = 7.038 Å
α = 90.00°, β = 90.00°, γ = 90.00°
Space group I-42d (No. 122)
Unique sites:
Sr: 0.228 0.250 0.125 [8 per cell]
Be: 0.000 0.000 0.500 [4 per cell]
Ni: 0.000 0.000 0.000 [4 per cell]